Entry 1:
The following is a DFT calculation (PBE) of a relaxed structure of AcLaAlPt.

As for the calculated total energy: -21.05 eV/f.u. As for the formation energy: -0.557 eV per atom. The total magnetic moment comes out at 0.000 μB per atom. The calculation puts the energy above the most stable polymorph in this dataset at 0.141 eV/atom.

The space group is F-43m (No. 216) and the conventional cell measures 7.621, 7.621 and 7.621 Å, with angles of 90.00, 90.00 and 90.00 degrees. The distinct sites, in fractional coordinates, are Ac at (0.000, 0.000, 0.000), La at (0.000, 0.000, 0.500), Al at (0.250, 0.250, 0.750) and Pt at (0.250, 0.250, 0.250).

---

Entry 2:
The following is a DFT calculation (PBE) of a relaxed structure of NaHoCd17.

As for the calculated total energy: -22.63 eV/f.u. As for the formation energy: -0.062 eV per atom. The total magnetic moment comes out at 0.000 μB per atom.

The space group is R3m (No. 160, hexagonal axes) and the conventional cell measures 10.0855, 10.0855 and 15.2288 Å, with angles of 90.00, 90.00 and 120.00 degrees. The distinct sites, in fractional coordinates, are Na at (0.0000, 0.0000, 0.0000), Ho at (0.0000, 0.0000, 0.6622), Cd at (0.0000, 0.0000, 0.2494), Cd at (0.0000, 0.0000, 0.4415), Cd at (0.0013, 0.3038, 0.3362), Cd at (0.0267, 0.5134, 0.1936), Cd at (0.0363, 0.5181, 0.8291) and Cd at (0.0678, 0.5339, 0.4868).